# HfTi3Cr PBE-GGA optimized geometry
# ΔH_f (0 K)	0.446	eV per atom
# relative energy among the computed polymorphs	0	meV/atom
# total moment	0.000	μB per atom
data_HfTi3Cr
_chemical_formula_sum 'Hf1 Ti3 Cr1'
_space_group_name_H-M_alt 'P 1'
_space_group_IT_number 1
_space_group_name_Hall 'P 1'
_cell_length_a 4.536
_cell_length_b 4.536
_cell_length_c 4.536
_cell_angle_alpha 90.00
_cell_angle_beta 90.00
_cell_angle_gamma 90.00
loop_
_atom_site_label
_atom_site_fract_x
_atom_site_fract_y
_atom_site_fract_z
Hf1 0.000 0.000 0.000
Ti1 0.000 0.500 0.500
Ti2 0.500 0.000 0.500
Ti3 0.500 0.500 0.000
Cr1 0.500 0.500 0.500

---

# Cs2TlF PBE-GGA optimized geometry
# relative energy among the computed polymorphs	26	meV/atom
# energy relative to the elements, uncorrected	-1.1456	eV per atom
# total moment	0.000	μB per atom
data_Cs2TlF
_chemical_formula_sum 'Cs6 Tl3 F3'
_space_group_name_H-M_alt 'P 1'
_space_group_IT_number 1
_space_group_name_Hall 'P 1'
_cell_length_a 4.226
_cell_length_b 4.226
_cell_length_c 33.343
_cell_angle_alpha 90.00
_cell_angle_beta 90.00
_cell_angle_gamma 120.00
loop_
_atom_site_label
_atom_site_fract_x
_atom_site_fract_y
_atom_site_fract_z
Cs1 0.000 0.000 0.113
Cs2 0.000 0.000 0.887
Cs3 0.333 0.667 0.554
Cs4 0.333 0.667 0.780
Cs5 0.667 0.333 0.220
Cs6 0.667 0.333 0.446
Tl1 0.000 0.000 0.000
Tl2 0.333 0.667 0.667
Tl3 0.667 0.333 0.333
F1 0.000 0.000 0.500
F2 0.333 0.667 0.167
F3 0.667 0.333 0.833

---

# Rb2HgPtN PBE-GGA optimized geometry
# relative energy among the computed polymorphs	0	meV/atom
# energy relative to the elements, uncorrected	-0.1630	eV per atom
# total moment	0.000	μB per atom
data_Rb2HgPtN
_chemical_formula_sum 'Rb2 Hg1 Pt1 N1'
_space_group_name_H-M_alt 'P 1'
_space_group_IT_number 1
_space_group_name_Hall 'P 1'
_cell_length_a 6.343
_cell_length_b 6.343
_cell_length_c 3.764
_cell_angle_alpha 90.00
_cell_angle_beta 90.00
_cell_angle_gamma 90.00
loop_
_atom_site_label
_atom_site_fract_x
_atom_site_fract_y
_atom_site_fract_z
Rb1 0.000 0.500 0.000
Rb2 0.500 0.000 0.000
Hg1 0.000 0.000 0.500
Pt1 0.500 0.500 0.500
N1 0.500 0.500 0.000

---

Number 1: uncorrected energy -8.21 eV/atom. Number 2: uncorrected energy -2.63 eV/atom. Number 3: uncorrected energy -3.48 eV/atom.